No. 1
A relaxed Ca2NiRh crystal. Source: the Alexandria database, functional GGA-PBE.

Summary:
Space group: P4mm (99)
ΔE_f, eV per formula unit: -0.181

```
Ca2NiRh
1.0
-0.869 0.074 3.287
0.717 -3.313 0.265
7.621 1.807 1.973
Ca Ni Rh
2 1 1
Direct
0.500 0.500 0.335 Ca
0.000 0.000 0.915 Ca
0.000 0.000 0.574 Ni
0.500 0.500 0.676 Rh
```

No. 2
A relaxed Ac5Nd12Sm2 crystal. Source: the Alexandria database, functional GGA-PBE.

Summary:
Space group: C2/m (12)
ΔE_f, eV per formula unit: 2.699

```
Ac5Nd12Sm2
1.0
7.057 0.000 -2.269
-0.934 8.525 -2.906
0.012 -0.146 12.148
Ac Nd Sm
5 12 2
Direct
0.348 0.912 0.696 Ac
0.246 0.487 0.491 Ac
0.000 0.500 0.000 Ac
0.754 0.513 0.509 Ac
0.652 0.088 0.304 Ac
0.142 0.057 0.285 Nd
0.547 0.691 0.093 Nd
0.946 0.789 0.397 Nd
0.453 0.309 0.907 Nd
0.156 0.623 0.789 Nd
0.452 0.789 0.397 Nd
0.548 0.211 0.603 Nd
0.367 0.377 0.211 Nd
0.844 0.377 0.211 Nd
0.054 0.211 0.603 Nd
0.633 0.623 0.789 Nd
0.858 0.943 0.715 Nd
0.257 0.000 0.000 Sm
0.743 0.000 0.000 Sm
```

No. 3
A relaxed NaNbIO2 crystal. Source: the Alexandria database, functional GGA-PBE.

Summary:
Energy above the most stable polymorph in this dataset, kJ per mole of atoms: 216.76
Space group: P4/mmm (123)
Formation energy without anion corrections, eV/atom: 0.7099

```
NaNbIO2
1.0
4.166 0.000 0.000
0.000 4.166 0.000
0.000 0.000 5.072
Na O Nb I
1 2 1 1
Direct
0.000 0.000 0.000 Na
0.500 0.000 0.000 O
0.000 0.500 0.000 O
0.500 0.500 0.500 Nb
0.000 0.000 0.500 I
```

No. 4
A relaxed Pm4Tl3H2 crystal. Source: the Alexandria database, functional GGA-PBE.

Summary:
Space group: C2/m (12)
Electronic total energy, eV per atom: -4.048

```
Pm4Tl3H2
1.0
4.538 0.000 0.000
-2.269 5.337 -1.205
0.000 0.614 8.622
Pm H Tl
4 2 3
Direct
0.714 0.428 0.143 Pm
0.871 0.742 0.583 Pm
0.129 0.258 0.417 Pm
0.286 0.572 0.857 Pm
0.697 0.394 0.401 H
0.303 0.606 0.599 H
0.586 0.171 0.725 Tl
0.000 0.000 0.000 Tl
0.414 0.829 0.275 Tl
```

No. 5
A relaxed Ho3CuC crystal. Source: the Alexandria database, functional GGA-PBE.

Summary:
Energy above the most stable polymorph in this dataset, kJ per mole of atoms: 10.96
Space group: Pm-3m (221)
ΔE_f, eV per formula unit: -0.473

```
Ho3CuC
1.0
-0.098 3.366 3.451
-4.418 -1.445 1.284
1.931 -3.136 3.113
C Ho Cu
1 3 1
Direct
0.000 0.000 0.000 C
0.000 0.000 0.500 Ho
0.500 0.000 0.000 Ho
0.000 0.500 0.000 Ho
0.500 0.500 0.500 Cu
```

No. 6
A relaxed Na3NdHg7 crystal. Source: the Alexandria database, functional GGA-PBE.

Summary:
Space group: Cmcm (63)
ΔE_f, eV per formula unit: -2.276

```
Na3NdHg7
1.0
3.580 0.000 0.000
-1.790 10.800 0.000
0.000 0.000 16.133
Na Hg Nd
6 14 2
Direct
0.761 0.523 0.250 Na
0.884 0.768 0.984 Na
0.884 0.768 0.516 Na
0.116 0.232 0.484 Na
0.239 0.477 0.750 Na
0.116 0.232 0.016 Na
0.494 0.988 0.588 Hg
0.626 0.253 0.844 Hg
0.506 0.012 0.088 Hg
0.749 0.499 0.920 Hg
0.626 0.253 0.656 Hg
0.251 0.501 0.080 Hg
0.749 0.499 0.580 Hg
0.251 0.501 0.420 Hg
0.374 0.747 0.156 Hg
0.494 0.988 0.912 Hg
0.385 0.769 0.750 Hg
0.374 0.747 0.344 Hg
0.615 0.231 0.250 Hg
0.506 0.012 0.412 Hg
0.014 0.027 0.750 Nd
0.986 0.973 0.250 Nd
```

No. 7
A relaxed Rb2SrTlI6 crystal. Source: the Alexandria database, functional GGA-PBE.

Summary:
Energy above the most stable polymorph in this dataset, kJ per mole of atoms: 6.04
Space group: Fm-3m (225)
Formation energy without anion corrections, eV/atom: -1.1291

```
Rb2SrTlI6
1.0
9.042 0.000 0.000
0.000 9.042 0.000
4.521 4.521 6.392
I Rb Sr Tl
6 2 1 1
Direct
0.248 0.752 0.000 I
0.248 0.248 0.000 I
0.752 0.752 0.000 I
0.752 0.752 0.496 I
0.248 0.248 0.504 I
0.752 0.248 0.000 I
0.750 0.250 0.500 Rb
0.250 0.750 0.500 Rb
0.500 0.500 0.000 Sr
0.000 0.000 0.000 Tl
```

No. 8
A relaxed Ac6SnTe3Rh2 crystal. Source: the Alexandria database, functional GGA-PBE.

Summary:
Space group: C2/m (12)
Formation energy without anion corrections, eV/atom: -1.0775

```
Ac6SnTe3Rh2
1.0
7.862 -0.003 -0.011
-3.932 6.809 -0.011
-1.322 -2.290 8.025
Ac Te Rh Sn
6 3 2 1
Direct
0.072 0.432 0.220 Ac
0.568 0.928 0.780 Ac
0.432 0.072 0.220 Ac
0.928 0.568 0.780 Ac
0.713 0.713 0.216 Ac
0.287 0.287 0.784 Ac
0.500 0.500 0.500 Te
0.842 0.158 0.500 Te
0.158 0.842 0.500 Te
0.668 0.332 0.000 Rh
0.332 0.668 0.000 Rh
0.000 0.000 0.000 Sn
```